1.
## BeSnPd2O (GGA-PBE)

Data for BeSnPd2O after structural relaxation.

The structure belongs to space group P4/mmm (No. 123); the cell edges are 4.1196, 4.1196 and 4.7384 Å and the angles 90.00°, 90.00° and 90.00°. The asymmetric unit holds Be at (0.0000, 0.0000, 0.0000), Sn at (0.0000, 0.0000, 0.5000), Pd at (0.0000, 0.5000, 0.0000) and O at (0.5000, 0.5000, 0.5000).

Its size of the total moment is 0.00 μB/f.u. For the uncorrected formation energy, the calculation gives 297 meV/atom.



2.
## Y2OsPt (GGA-PBE)

Data for Y2OsPt after structural relaxation.

The structure belongs to space group P4mm (No. 99); the cell edges are 3.9196, 3.9196 and 5.8508 Å and the angles 90.00°, 90.00° and 90.00°. The asymmetric unit holds Y at (0.0000, 0.0000, 0.0000), Y at (0.5000, 0.5000, 0.3782), Os at (0.0000, 0.0000, 0.5058) and Pt at (0.5000, 0.5000, 0.8679).

Its size of the total moment is 0.00 μB/f.u. Its raw total energy is -7.8296 eV per atom.



3.
## TbHo4Mg5 (GGA-PBE)

Data for TbHo4Mg5 after structural relaxation.

The structure belongs to space group P4/mmm (No. 123); the cell edges are 3.7846, 3.7846 and 18.8596 Å and the angles 90.00°, 90.00° and 90.00°. The asymmetric unit holds Tb at (0.0000, 0.0000, 0.0000), Ho at (0.0000, 0.0000, 0.2010), Ho at (0.0000, 0.0000, 0.4004), Mg at (0.5000, 0.5000, 0.1014), Mg at (0.5000, 0.5000, 0.3008) and Mg at (0.5000, 0.5000, 0.5000).

Its size of the total moment is 0.00 μB/f.u. Its raw total energy is -3.1666 eV per atom.



size of the total moment of number 1 (BeSnPd2O)? 0.00 μB/f.u.